Entry 1:
First-principles (PBE) data for a relaxed structure of CaCoPCl2, as listed in Alexandria via LeMat-Bulk.

Calculated values
volume	129	Å³ per cell
relative energy among the computed polymorphs	0.452	eV per atom
magnetization	0.32	μB per formula unit

```
data_CaCoPCl2
_chemical_formula_sum 'Ca1 Co1 P1 Cl2'
_symmetry_space_group_name_H-M 'P 4/m m m'
_symmetry_Int_Tables_number 123
_symmetry_space_group_name_Hall '-P 4 2'
_cell_length_a 4.3716
_cell_length_b 4.3716
_cell_length_c 6.7709
_cell_angle_alpha 90.00
_cell_angle_beta 90.00
_cell_angle_gamma 90.00
loop_
_atom_site_label
_atom_site_type_symbol
_atom_site_fract_x
_atom_site_fract_y
_atom_site_fract_z
Ca1 Ca 0.0000 0.0000 0.0000
Co1 Co 0.0000 0.0000 0.5000
P1 P 0.5000 0.5000 0.0000
Cl1 Cl 0.0000 0.5000 0.5000
```



Entry 2:
First-principles (PBE) data for a relaxed structure of CaCoPCl2, as listed in Alexandria via LeMat-Bulk.

Calculated values
volume	100	Å³ per cell
relative energy among the computed polymorphs	0.000	eV per atom
magnetization	0.00	μB per formula unit

```
data_CaCoPCl2
_chemical_formula_sum 'Ca1 Co1 P1 Cl2'
_symmetry_space_group_name_H-M 'P 4/m m m'
_symmetry_Int_Tables_number 123
_symmetry_space_group_name_Hall '-P 4 2'
_cell_length_a 4.7707
_cell_length_b 4.7707
_cell_length_c 4.4020
_cell_angle_alpha 90.00
_cell_angle_beta 90.00
_cell_angle_gamma 90.00
loop_
_atom_site_label
_atom_site_type_symbol
_atom_site_fract_x
_atom_site_fract_y
_atom_site_fract_z
Ca1 Ca 0.0000 0.0000 0.0000
Co1 Co 0.5000 0.5000 0.5000
P1 P 0.5000 0.5000 0.0000
Cl1 Cl 0.0000 0.5000 0.5000
```



Values of formation energy without anion corrections, in order: -0.177 -0.629, all in eV/atom.